1.
DFT (PBE) results for ReAg2 after structural relaxation.

abc: 10.0708 10.0708 10.0708
angles: 164.92 155.22 29.13
With the nearest neighbours (Å) after each atom.
Sites, in units of the cell vectors:
Re 0.3634 0.1134 0.2500  2 Re 2.64, 8 Ag 2.89-2.90
Re 0.6366 0.8866 0.7500  2 Re 2.64, 8 Ag 2.89-2.90
Ag 0.0650 0.3150 0.7500  5 Ag 2.64-2.86, 4 Re 2.89
Ag 0.2094 0.4594 0.7500  5 Ag 2.64-2.81, 4 Re 2.90
Ag 0.7906 0.5406 0.2500  5 Ag 2.64-2.81, 4 Re 2.90
Ag 0.9350 0.6850 0.2500  5 Ag 2.64-2.86, 4 Re 2.89

Output
- space group = No. 74
- E (eV/atom) = -5.024
- DOS(E_F) (states/eV/f.u.) = 2.20
- formation energy from the elements (eV per atom) = 1.0265

=====

2.
DFT (PBE) results for La2ErPd after structural relaxation.

abc: 3.7927 3.7927 8.2058
angles: 90.00 90.00 90.00
With the nearest neighbours (Å) after each atom.
Sites, in units of the cell vectors:
La 0.0000 0.0000 0.2085  4 Pd 3.18, 1 La 3.42
La 0.0000 0.0000 0.7915  4 Pd 3.18, 1 La 3.42
Er 0.5000 0.5000 0.5000  8 La 3.59, 4 Er 3.79
Pd 0.5000 0.5000 0.0000  8 La 3.18

Output
- space group = No. 123
- E (eV/atom) = -5.226
- DOS(E_F) (states/eV/f.u.) = 5.23
- formation energy from the elements (eV per atom) = -0.3233

=====

3.
DFT (PBE) results for BaLi2PrSb2 after structural relaxation.

abc: 4.8273 4.8273 8.4678
angles: 90.00 90.00 120.00
With the nearest neighbours (Å) after each atom.
Sites, in units of the cell vectors:
Ba 0.0000 0.0000 0.0000  6 Sb 3.64, 6 Li 3.74
Li 0.3333 0.6667 0.7054  3 Sb 2.79
Li 0.6667 0.3333 0.2946  3 Sb 2.79
Pr 0.0000 0.0000 0.5000  6 Li 3.29, 6 Sb 3.37
Sb 0.3333 0.6667 0.2767  3 Li 2.79
Sb 0.6667 0.3333 0.7233  3 Li 2.79

Output
- space group = No. 164
- E (eV/atom) = -4.023
- formation energy (no corrections) (eV per atom) = -0.894
- DOS(E_F) (states/eV/f.u.) = 3.01

=====

4.
DFT (PBE) results for Nd4DyGa5 after structural relaxation.

abc: 3.6663 3.6663 18.3989
angles: 90.00 90.00 90.00
With the nearest neighbours (Å) after each atom.
Sites, in units of the cell vectors:
Nd 0.0000 0.0000 0.1016  8 Ga 3.20
Nd 0.0000 0.0000 0.3051  8 Ga 3.20-3.22
Nd 0.0000 0.0000 0.6949  8 Ga 3.20-3.22
Nd 0.0000 0.0000 0.8984  8 Ga 3.20
Dy 0.0000 0.0000 0.5000  8 Ga 3.09
Ga 0.5000 0.5000 0.0000  8 Nd 3.20
Ga 0.5000 0.5000 0.2034  8 Nd 3.20
Ga 0.5000 0.5000 0.4087  4 Dy 3.09, 4 Nd 3.22, 1 Ga 3.36
Ga 0.5000 0.5000 0.5913  4 Dy 3.09, 4 Nd 3.22, 1 Ga 3.36
Ga 0.5000 0.5000 0.7966  8 Nd 3.20

Output
- space group = No. 123
- E (eV/atom) = -4.444
- DOS(E_F) (states/eV/f.u.) = 4.24
- formation energy from the elements (eV per atom) = -0.5632

=====

5.
DFT (PBE) results for Pa4AgP5 after structural relaxation.

abc: 15.7323 15.7323 15.7323
angles: 14.64 14.64 14.64
With the nearest neighbours (Å) after each atom.
Sites, in units of the cell vectors:
Pa 0.1038 0.1038 0.1038  6 P 2.73-2.82
Pa 0.2988 0.2988 0.2988  6 P 2.82-2.83
Pa 0.7012 0.7012 0.7012  6 P 2.82-2.83
Pa 0.8962 0.8962 0.8962  6 P 2.73-2.82
Ag 0.5000 0.5000 0.5000  6 P 2.75
P 0.0000 0.0000 0.0000  6 Pa 2.82
P 0.1986 0.1986 0.1986  3 Pa 2.73, 3 Ag 2.75
P 0.4026 0.4026 0.4026  6 Pa 2.82-2.83
P 0.5974 0.5974 0.5974  6 Pa 2.82-2.83
P 0.8014 0.8014 0.8014  3 Pa 2.73, 3 Ag 2.75

Output
- space group = No. 166
- E (eV/atom) = -7.785
- DOS(E_F) (states/eV/f.u.) = 9.93
- formation energy from the elements (eV per atom) = -0.9963

=====

6.
DFT (PBE) results for Y2Al2Zn after structural relaxation.

abc: 5.8135 5.8135 10.5473
angles: 115.03 115.03 45.22
With the nearest neighbours (Å) after each atom.
Sites, in units of the cell vectors:
Y 0.0165 0.0165 0.3323  7 Al 3.07-3.32, 4 Zn 3.13-3.26
Y 0.1834 0.1834 0.0967  6 Al 3.11-3.18, 2 Zn 3.31
Y 0.8166 0.8166 0.9033  6 Al 3.11-3.18, 2 Zn 3.31
Y 0.9835 0.9835 0.6677  7 Al 3.07-3.32, 4 Zn 3.13-3.26
Al 0.3585 0.3585 0.4341  3 Zn 2.58-2.87, 1 Al 2.70
Al 0.4837 0.4837 0.1190  1 Zn 2.60, 1 Al 2.69
Al 0.5163 0.5163 0.8810  1 Zn 2.60, 1 Al 2.69
Al 0.6415 0.6415 0.5659  3 Zn 2.58-2.87, 1 Al 2.70
Zn 0.2738 0.2738 0.6555  4 Al 2.58-2.87
Zn 0.7262 0.7262 0.3445  4 Al 2.58-2.87

Output
- space group = No. 12
- E (eV/atom) = -4.793
- DOS(E_F) (states/eV/f.u.) = 3.57
- formation energy from the elements (eV per atom) = -0.4552

=====

7.
DFT (PBE) results for CePaSe after structural relaxation.

abc: 5.4771 5.4771 5.4771
angles: 137.90 137.90 61.06
With the nearest neighbours (Å) after each atom.
Sites, in units of the cell vectors:
Ce 0.0000 0.0000 0.0000  1 Pa 2.61
Pa 0.2767 0.2767 0.0000  1 Ce 2.61
Se 0.6444 0.6444 0.0000  4 Pa 3.05, 5 Ce 3.10-3.36

Output
- space group = No. 107
- E (eV/atom) = -6.839
- formation energy (no corrections) (eV per atom) = -0.535
- DOS(E_F) (states/eV/f.u.) = 7.15

=====

8.
DFT (PBE) results for Pm3Zn9Au2 after structural relaxation.

abc: 8.3624 8.3624 8.3624
angles: 149.32 114.86 73.71
With the nearest neighbours (Å) after each atom.
Sites, in units of the cell vectors:
Pm 0.0000 0.0000 0.0000  12 Zn 3.11-3.39
Pm 0.3022 0.3022 0.0000  14 Zn 3.08-3.45, 2 Au 3.21
Pm 0.6978 0.6978 0.0000  14 Zn 3.08-3.45, 2 Au 3.21
Zn 0.0289 0.6676 0.3613  4 Zn 2.50-2.73, 1 Au 2.67
Zn 0.1442 0.8640 0.2802  4 Zn 2.59-2.73, 2 Au 2.87
Zn 0.3063 0.6676 0.6387  4 Zn 2.50-2.73, 1 Au 2.67
Zn 0.4162 0.1360 0.2802  4 Zn 2.59-2.73, 2 Au 2.87
Zn 0.5000 0.0000 0.5000  4 Zn 2.69, 4 Au 2.86
Zn 0.5838 0.8640 0.7198  4 Zn 2.59-2.73, 2 Au 2.87
Zn 0.6937 0.3324 0.3613  4 Zn 2.50-2.73, 1 Au 2.67
Zn 0.8558 0.1360 0.7198  4 Zn 2.59-2.73, 2 Au 2.87
Zn 0.9711 0.3324 0.6387  4 Zn 2.50-2.73, 1 Au 2.67
Au 0.2992 0.5000 0.7992  8 Zn 2.67-2.87
Au 0.7008 0.5000 0.2008  8 Zn 2.67-2.87

Output
- space group = No. 71
- E (eV/atom) = -2.719
- DOS(E_F) (states/eV/f.u.) = 9.29
- formation energy from the elements (eV per atom) = -0.4140

=====

9.
DFT (PBE) results for DySi2Ni5 after structural relaxation.

abc: 5.8904 5.8904 5.8904
angles: 144.57 112.05 79.04
With the nearest neighbours (Å) after each atom.
Sites, in units of the cell vectors:
Dy 0.0000 0.0000 0.0000  4 Si 2.92, 8 Ni 3.04
Si 0.2541 0.7541 0.5000  7 Ni 2.24-2.36
Si 0.7459 0.2459 0.5000  7 Ni 2.24-2.36
Ni 0.1633 0.3520 0.8114  3 Si 2.27-2.36, 1 Ni 2.48
Ni 0.4594 0.6480 0.8114  3 Si 2.27-2.36, 1 Ni 2.48
Ni 0.5000 0.0000 0.5000  2 Si 2.24
Ni 0.5406 0.3520 0.1886  3 Si 2.27-2.36, 1 Ni 2.48
Ni 0.8367 0.6480 0.1886  3 Si 2.27-2.36, 1 Ni 2.48

Output
- space group = No. 71
- E (eV/atom) = -6.153
- formation energy (no corrections) (eV per atom) = -0.609
- DOS(E_F) (states/eV/f.u.) = 4.36

=====

10.
DFT (PBE) results for ReTe2Os after structural relaxation.

abc: 3.0158 3.0158 9.6871
angles: 90.00 90.00 90.00
With the nearest neighbours (Å) after each atom.
Sites, in units of the cell vectors:
Re 0.0000 0.0000 0.0000  4 Os 2.64
Te 0.0000 0.0000 0.6111  4 Te 3.02, 4 Os 3.08
Te 0.5000 0.5000 0.2155  4 Re 2.98, 4 Te 3.02
Os 0.5000 0.5000 0.8402  4 Re 2.64

Output
- space group = No. 99
- E (eV/atom) = -7.041
- formation energy (no corrections) (eV per atom) = 0.449
- DOS(E_F) (states/eV/f.u.) = 1.67

=====

11.
DFT (PBE) results for La8AgRh2 after structural relaxation.

abc: 8.2164 8.2164 5.9884
angles: 99.00 99.00 116.66
With the nearest neighbours (Å) after each atom.
Sites, in units of the cell vectors:
La 0.0000 0.0000 0.0000  1 Ag 3.21, 3 La 3.32-3.54, 2 Rh 3.57
La 0.0494 0.2955 0.6153  2 Rh 2.85-2.92
La 0.1554 0.6238 0.1846  2 Rh 3.06-3.07, 1 Ag 3.28
La 0.2955 0.0494 0.6153  2 Rh 2.85-2.92
La 0.4838 0.7298 0.7540  2 Rh 2.85-2.92
La 0.6238 0.1554 0.1846  2 Rh 3.06-3.07, 1 Ag 3.28
La 0.7298 0.4838 0.7540  2 Rh 2.85-2.92
La 0.7799 0.7799 0.3700  1 Ag 3.21, 3 La 3.32-3.54, 2 Rh 3.57
Ag 0.3901 0.3901 0.1826  4 La 3.21-3.28
Rh 0.1083 0.6711 0.6849  6 La 2.85-3.07
Rh 0.6711 0.1083 0.6849  6 La 2.85-3.07

Output
- space group = No. 8
- E (eV/atom) = -5.455
- DOS(E_F) (states/eV/f.u.) = 13.24
- formation energy from the elements (eV per atom) = -0.2756

=====

12.
DFT (PBE) results for GaCu4Pd5 after structural relaxation.

abc: 3.0656 3.0656 14.8180
angles: 90.00 90.00 90.00
With the nearest neighbours (Å) after each atom.
Sites, in units of the cell vectors:
Ga 0.0000 0.0000 0.0000  8 Pd 2.62
Cu 0.0000 0.0000 0.2048  8 Pd 2.60-2.67
Cu 0.0000 0.0000 0.4010  8 Pd 2.62-2.63, 1 Cu 2.91
Cu 0.0000 0.0000 0.5990  8 Pd 2.62-2.63, 1 Cu 2.91
Cu 0.0000 0.0000 0.7952  8 Pd 2.60-2.67
Pd 0.5000 0.5000 0.0993  4 Ga 2.62, 4 Cu 2.67
Pd 0.5000 0.5000 0.3011  8 Cu 2.60-2.63
Pd 0.5000 0.5000 0.5000  8 Cu 2.62
Pd 0.5000 0.5000 0.6989  8 Cu 2.60-2.63
Pd 0.5000 0.5000 0.9007  4 Ga 2.62, 4 Cu 2.67

Output
- space group = No. 123
- E (eV/atom) = -4.799
- DOS(E_F) (states/eV/f.u.) = 2.29
- formation energy from the elements (eV per atom) = -0.2612

=====

13.
DFT (PBE) results for SmY3Bi4 after structural relaxation.

abc: 7.7973 7.7973 4.5047
angles: 90.00 90.00 109.47
With the nearest neighbours (Å) after each atom.
Sites, in units of the cell vectors:
Sm 0.0000 0.0000 0.0000  6 Bi 3.20
Y 0.0000 0.5000 0.5000  6 Bi 3.18
Y 0.5000 0.0000 0.5000  6 Bi 3.18
Y 0.5000 0.5000 0.0000  6 Bi 3.16
Bi 0.2516 0.7484 0.0000  5 Y 3.16-3.18, 1 Sm 3.20
Bi 0.2532 0.2532 0.5000  4 Y 3.16-3.18, 2 Sm 3.20
Bi 0.7468 0.7468 0.5000  4 Y 3.16-3.18, 2 Sm 3.20
Bi 0.7484 0.2516 0.0000  5 Y 3.16-3.18, 1 Sm 3.20

Output
- space group = No. 65
- E (eV/atom) = -5.858
- DOS(E_F) (states/eV/f.u.) = 1.22
- formation energy from the elements (eV per atom) = -0.9033